No. 1
The following is a PBE calculation of a relaxed Pa2NbSe crystal, from Alexandria.

POSCAR file:
```
Pa2NbSe
1.0
-1.712 3.341 -0.215
-3.263 -1.719 -0.733
-1.238 -0.244 6.087
Nb Pa Se
1 2 1
Direct
0.500 0.500 0.500
0.000 0.000 0.762
0.000 0.000 0.238
0.500 0.500 0.000
```

Results
ΔE to the lowest computed polymorph	0.0000	eV/atom
size of the total moment	0.00	μB per cell



No. 2
The following is a PBE calculation of a relaxed Nd6CdAu5 crystal, from Alexandria.

POSCAR file:
```
Nd6CdAu5
1.0
5.166 -0.009 -1.095
0.008 7.438 0.009
-0.937 -0.009 8.356
Au Nd Cd
5 6 1
Direct
0.668 0.500 0.335
0.346 0.000 0.692
0.000 0.500 0.000
0.654 0.000 0.308
0.332 0.500 0.665
0.829 0.749 0.659
0.829 0.251 0.659
0.500 0.261 0.000
0.500 0.739 0.000
0.171 0.749 0.341
0.171 0.251 0.341
0.000 0.000 0.000
```

Results
formation energy	-0.69	eV per atom
size of the total moment	0.00	μB per cell



No. 3
The following is a PBE calculation of a relaxed Li4Er3SnS8 crystal, from Alexandria.

POSCAR file:
```
Li4Er3SnS8
1.0
-1.486 -3.116 -6.948
7.471 -0.240 -1.490
-2.856 -3.292 6.418
Li Er Sn S
4 3 1 8
Direct
0.500 0.000 0.000
0.500 0.000 0.500
0.000 0.000 0.000
0.000 0.000 0.500
0.500 0.500 0.000
0.500 0.500 0.500
0.000 0.500 0.500
0.000 0.500 0.000
0.250 0.749 0.000
0.250 0.749 0.500
0.250 0.251 0.501
0.750 0.749 0.000
0.250 0.251 0.000
0.750 0.749 0.499
0.750 0.251 0.500
0.750 0.251 0.000
```

Results
E_tot	-83.423	eV per cell
size of the total moment	0.00	μB per cell